{
  "formula": "Rb3Dy3VO8",
  "functional": "GGA+U",
  "state": "relaxed",
  "lattice": [[6.768, 0.000, 0.000], [-3.384, 5.861, -0.022], [0.000, -3.884, 6.605]],
  "species": ["O", "O", "O", "O", "O", "O", "O", "O", "Rb", "Rb", "Rb", "Dy", "Dy", "Dy", "V"],
  "frac_coords": [[0.203, 0.957, 0.660], [0.203, 0.406, 0.660], [0.797, 0.043, 0.340], [0.797, 0.594, 0.340], [0.754, 0.957, 0.660], [0.275, 0.551, 0.327], [0.725, 0.449, 0.673], [0.246, 0.043, 0.340], [0.500, 0.500, 0.000], [0.000, 0.500, 0.000], [0.000, 0.000, 0.000], [0.500, 0.500, 0.500], [0.500, 0.000, 0.500], [0.000, 0.500, 0.500], [0.000, 0.000, 0.500]],
  "magmom_total_mub_per_cell": 1.00,
  "total_energy_ev_per_cell": -102.3,
  "space_group": "R-3m, No. 166",
  "crystal_system": "trigonal"
}